! Na5Cd2Hg5, relaxed, DFT PBE; values from VASP
&SYSTEM
  ibrav = 0, nat = 12, ntyp = 3
/
ATOMIC_SPECIES
Hg 200.59 Hg.upf
Na 22.99 Na.upf
Cd 112.41 Cd.upf
CELL_PARAMETERS angstrom
-3.857 -1.111 -2.964
1.999 -7.195 4.294
-4.906 7.670 3.509
ATOMIC_POSITIONS angstrom
Hg -4.948 -2.435 3.150
Hg -0.913 -2.197 2.010
Hg 0.000 0.000 0.000
Na -0.330 -5.625 2.536
Na -6.434 4.990 2.303
Cd -3.704 3.479 3.517
Hg -5.851 1.561 2.829
Cd -3.059 -4.114 1.322
Hg -1.816 1.800 1.689
Na -4.381 3.280 0.272
Na -3.605 -0.697 0.752
Na -3.159 0.062 4.087
! DOS(E_F)   4.370 states/eV per cell
! SG   No. 12
! ΔH_f (0 K)   -226 kJ/mol of formula units
! ΔE to the lowest computed polymorph   0.000 eV/atom
! V   26.2 A^3/atom



! TbDyTh2N4, relaxed, DFT PBE; values from VASP
&SYSTEM
  ibrav = 0, nat = 8, ntyp = 4
/
ATOMIC_SPECIES
Tb 158.93 Tb.upf
N 14.01 N.upf
Th 232.04 Th.upf
Dy 162.50 Dy.upf
CELL_PARAMETERS angstrom
-1.565 -3.173 -0.598
2.757 -2.313 5.062
-5.476 2.410 1.544
ATOMIC_POSITIONS angstrom
Tb 0.000 0.000 0.000
N -1.448 -1.569 1.349
N -3.430 1.232 2.439
Th -1.360 0.049 3.303
N 0.711 -1.135 4.166
N -2.836 -1.508 4.659
Dy 0.596 -2.743 2.232
Th -3.521 -0.382 0.473
! DOS(E_F)   2.631 states/eV per cell
! ΔE_f (raw)   -1.615 eV/atom
! SG   No. 10
! V   16.2 A^3/atom



! Be2TcHg, relaxed, DFT PBE; values from VASP
&SYSTEM
  ibrav = 0, nat = 4, ntyp = 3
/
ATOMIC_SPECIES
Be 9.01 Be.upf
Tc 98.00 Tc.upf
Hg 200.59 Hg.upf
CELL_PARAMETERS angstrom
3.492 0.000 0.000
0.000 3.332 -0.006
0.000 1.659 4.334
ATOMIC_POSITIONS angstrom
Be 0.000 2.280 4.169
Be 1.746 0.627 1.128
Tc 1.746 3.944 3.706
Hg 0.000 2.294 1.823
! DOS(E_F)   1.218 states/eV per cell
! SG   No. 6
! ΔH_f (0 K)   75 kJ/mol of formula units
! V   12.6 A^3/atom



no.,calculated total energy (eV per atom)
1,-1.02
2,-8.79
3,-4.34